Here is a PBEsol-optimized structure of Ba2MnFe from Alexandria. Energies are from SCAN.

The structure in extended XYZ format:
```
4
Lattice="3.5178 0.0000 0.0000 0.0000 3.5178 0.0000 0.0000 0.0000 9.1017" Properties=species:S:1:pos:R:3 pbc="T T T"
Ba 0.0000 0.0000 8.3218
Ba 1.7589 1.7589 3.0629
Fe 0.0000 0.0000 5.3314
Mn 1.7589 1.7589 6.0382
```

Values from the calculation:
formation energy = 190 kJ/mol of formula units
VASP energy = -113.51 eV for the cell shown

Here is a PBEsol-optimized structure of Ba3MnFe from Alexandria. Energies are from SCAN.

The structure in extended XYZ format:
```
5
Lattice="5.7276 0.0000 0.0000 0.0000 5.7276 0.0000 0.0000 0.0000 5.7276" Properties=species:S:1:pos:R:3 pbc="T T T"
Mn 2.8638 2.8638 2.8638
Ba 0.0000 2.8638 0.0000
Ba 0.0000 0.0000 2.8638
Ba 2.8638 0.0000 0.0000
Fe 0.0000 0.0000 0.0000
```

Values from the calculation:
formation energy = 297 kJ/mol of formula units
VASP energy = -151.95 eV for the cell shown

Here is a PBEsol-optimized structure of BaMnFe2 from Alexandria. Energies are from SCAN.

The structure in extended XYZ format:
```
4
Lattice="3.0321 0.0000 0.0000 1.5161 2.6259 0.0000 1.5161 0.8753 8.7882" Properties=species:S:1:pos:R:3 pbc="T T T"
Ba 0.0000 0.0000 0.0000
Fe 1.5161 0.8753 2.7680
Fe 4.5482 2.6259 6.0202
Mn 3.0321 1.7506 4.3941
```

Values from the calculation:
formation energy = 423 kJ/mol of formula units
VASP energy = -89.68 eV for the cell shown

Q: Which value of VASP energy does entry 2 give?
A: -151.95 eV for the cell shown

Q: The lowest formation energy belongs to which entry?
A: Ba2MnFe